First-principles (PBE-GGA) data for a relaxed structure of KLiGaSb2, as listed in Alexandria via LeMat-Bulk.

Values from the calculation:
- Mass density: 4.1 g/cm3
- Formation energy without anion corrections: -0.37 eV per atom
- DFT total energy: -3.229 eV per atom

Cell: 4.2293 4.2293 8.5981 Å, 104.24 104.24 90.00°
Atoms (fractional coordinates):
Li: 0.2500 0.7500 0.5000
Sb: 0.3602 0.3602 0.7203
Sb: 0.6398 0.6398 0.2797
Ga: 0.7500 0.2500 0.5000
K: 0.0000 0.0000 0.0000



First-principles (PBE-GGA) data for a relaxed structure of Rb2YPa2Se6, as listed in Alexandria via LeMat-Bulk.

Values from the calculation:
- Mass density: 5.3 g/cm3
- Formation energy without anion corrections: -1.49 eV per atom
- DFT total energy: -5.885 eV per atom

Cell: 7.2115 7.2115 8.6091 Å, 97.89 97.89 119.78°
Atoms (fractional coordinates):
Se: 0.6009 0.9369 0.3061
Se: 0.3991 0.0631 0.6939
Y: 0.0000 0.0000 0.5000
Rb: 0.1664 0.8336 0.0000
Se: 0.9369 0.6009 0.3061
Se: 0.0631 0.3991 0.6939
Pa: 0.6646 0.3354 0.5000
Se: 0.7315 0.7315 0.6969
Se: 0.2685 0.2685 0.3031
Rb: 0.8336 0.1664 0.0000
Pa: 0.3354 0.6646 0.5000



First-principles (PBE-GGA) data for a relaxed structure of Ti2NbFe5B2, as listed in Alexandria via LeMat-Bulk.

Values from the calculation:
- Mass density: 7.3 g/cm3
- DFT total energy: -8.580 eV per atom
- Energy relative to the elements: -0.427 eV per atom

Cell: 2.9290 8.7261 8.7261 Å, 90.00 90.00 90.00°
Atoms (fractional coordinates):
Fe: 0.5000 0.0702 0.7780
B: 0.0000 0.6204 0.8796
B: 0.0000 0.1204 0.6204
Ti: 0.0000 0.6739 0.1739
Fe: 0.5000 0.4298 0.2780
Fe: 0.5000 0.2780 0.5702
Fe: 0.5000 0.7780 0.9298
Ti: 0.0000 0.3261 0.8261
Fe: 0.5000 0.0000 0.5000
Fe: 0.5000 0.5000 0.0000
Ti: 0.0000 0.1739 0.3261
Fe: 0.5000 0.2220 0.0702
B: 0.0000 0.8796 0.3796
Nb: 0.0000 0.0000 0.0000
Fe: 0.5000 0.7220 0.4298
Fe: 0.5000 0.5702 0.7220
Ti: 0.0000 0.8261 0.6739
Fe: 0.5000 0.9298 0.2220
B: 0.0000 0.3796 0.1204
Nb: 0.0000 0.5000 0.5000



First-principles (PBE-GGA) data for a relaxed structure of UTe3Au2, as listed in Alexandria via LeMat-Bulk.

Values from the calculation:
- Mass density: 9.1 g/cm3
- Formation energy without anion corrections: -0.34 eV per atom
- DFT total energy: -4.880 eV per atom
- Excess energy over the best structure of this formula in the dataset: 0.0000 eV/atom

Cell: 4.4154 7.9709 10.7990 Å, 97.29 101.80 90.00°
Atoms (fractional coordinates):
Au: 0.0504 0.1485 0.1009
Au: 0.9496 0.8515 0.8991
Te: 0.9111 0.1740 0.8221
Te: 0.7512 0.7875 0.5025
Te: 0.4242 0.6463 0.8484
U: 0.3467 0.9463 0.6934
Te: 0.0889 0.8260 0.1779
Te: 0.2488 0.2125 0.4975
Te: 0.5758 0.3537 0.1516
U: 0.6533 0.0537 0.3066
Au: 0.2968 0.5489 0.5937
Au: 0.7032 0.4511 0.4063



First-principles (PBE-GGA) data for a relaxed structure of BaPmCd, as listed in Alexandria via LeMat-Bulk.

Values from the calculation:
- Mass density: 5.8 g/cm3
- DFT total energy: -2.639 eV per atom
- Energy relative to the elements: -0.110 eV per atom
- Excess energy over the best structure of this formula in the dataset: 0.0162 eV/atom

Cell: 4.1323 5.3918 10.0666 Å, 90.00 90.00 90.00°
Atoms (fractional coordinates):
Pm: 0.0000 0.5000 0.4597
Pm: 0.5000 0.0000 0.5403
Cd: 0.5000 0.5000 0.7333
Ba: 0.5000 0.5000 0.1299
Ba: 0.0000 0.0000 0.8701
Cd: 0.0000 0.0000 0.2667



First-principles (PBE-GGA) data for a relaxed structure of Li4Ho3BiS8, as listed in Alexandria via LeMat-Bulk.

Values from the calculation:
- Mass density: 5.0 g/cm3
- Formation energy without anion corrections: -1.57 eV per atom
- DFT total energy: -5.215 eV per atom

Cell: 7.8462 7.6871 7.8441 Å, 120.72 120.01 90.00°
Atoms (fractional coordinates):
Li: 0.5000 0.0000 0.5000
S: 0.7439 0.7535 0.9989
Ho: 0.5000 0.5000 0.5000
S: 0.2507 0.2525 0.5014
Li: 0.0000 0.0000 0.5000
S: 0.2550 0.7535 0.9989
Li: 0.0000 0.0000 0.0000
S: 0.2561 0.2465 0.0011
Li: 0.5000 0.0000 0.0000
S: 0.7450 0.2465 0.0011
S: 0.2550 0.7535 0.5100
Ho: 0.0000 0.5000 0.5000
Bi: 0.0000 0.5000 0.0000
S: 0.7450 0.2465 0.4900
S: 0.7493 0.7475 0.4986
Ho: 0.5000 0.5000 0.0000



First-principles (PBE-GGA) data for a relaxed structure of Tb7Cd2Rh2, as listed in Alexandria via LeMat-Bulk.

Values from the calculation:
- Mass density: 8.1 g/cm3
- DFT total energy: -4.799 eV per atom
- Energy relative to the elements: -0.349 eV per atom

Cell: 6.7920 7.1799 6.7920 Å, 90.00 107.72 90.00°
Atoms (fractional coordinates):
Cd: 0.1759 0.5000 0.1759
Tb: 0.5000 0.7485 0.0000
Rh: 0.2892 0.0000 0.7108
Tb: 0.5000 0.2448 0.5000
Tb: 0.5000 0.7552 0.5000
Tb: 0.0000 0.7485 0.5000
Tb: 0.5000 0.2515 0.0000
Tb: 0.0000 0.2515 0.5000
Tb: 0.0000 0.0000 0.0000
Cd: 0.8241 0.5000 0.8241
Rh: 0.7108 0.0000 0.2892



First-principles (PBE-GGA) data for a relaxed structure of CeHRh, as listed in Alexandria via LeMat-Bulk.

Values from the calculation:
- Mass density: 9.0 g/cm3
- DFT total energy: -6.128 eV per atom
- Excess energy over the best structure of this formula in the dataset: 0.0330 eV/atom

Cell: 5.0485 5.0664 5.0644 Å, 57.71 60.12 60.10°
Atoms (fractional coordinates):
H: 0.4608 0.2678 0.9548
Ce: 0.4607 0.2678 0.4548
H: 0.9608 0.2678 0.9548
Rh: 0.7110 0.5702 0.6519
Rh: 0.2104 0.9654 0.2576
Ce: 0.9608 0.7678 0.9548



First-principles (PBE-GGA) data for a relaxed structure of LaMg2Te, as listed in Alexandria via LeMat-Bulk.

Values from the calculation:
- Mass density: 4.1 g/cm3
- Formation energy without anion corrections: -0.21 eV per atom
- DFT total energy: -3.020 eV per atom

Cell: 9.3395 9.3395 9.3395 Å, 25.12 25.12 25.12°
Atoms (fractional coordinates):
Te: 0.2500 0.2500 0.2500
Mg: 0.5185 0.5185 0.5185
Mg: 0.9815 0.9815 0.9815
La: 0.7500 0.7500 0.7500



First-principles (PBE-GGA) data for a relaxed structure of ThCd3Pt2, as listed in Alexandria via LeMat-Bulk.

Values from the calculation:
- Mass density: 11.5 g/cm3
- DFT total energy: -4.242 eV per atom
- Energy relative to the elements: -0.534 eV per atom

Cell: 4.0219 8.4390 9.0929 Å, 111.86 90.00 103.79°
Atoms (fractional coordinates):
Cd: 0.0562 0.1124 0.4038
Cd: 0.7054 0.4108 0.3807
Pt: 0.5180 0.0361 0.1673
Th: 0.1156 0.2312 0.0329
Pt: 0.2459 0.4919 0.8820
Cd: 0.2946 0.5892 0.6193
Cd: 0.6251 0.2503 0.6974
Th: 0.8844 0.7688 0.9671
Cd: 0.3749 0.7497 0.3026
Pt: 0.7541 0.5081 0.1180
Pt: 0.4820 0.9639 0.8327
Cd: 0.9438 0.8876 0.5962



First-principles (PBE-GGA) data for a relaxed structure of Tb6Pm2Dy, as listed in Alexandria via LeMat-Bulk.

Values from the calculation:
- Mass density: 7.9 g/cm3
- DFT total energy: -4.542 eV per atom
- Energy relative to the elements: 0.112 eV per atom

Cell: 6.6108 9.6265 9.6265 Å, 96.23 80.43 80.43°
Atoms (fractional coordinates):
Tb: 0.8173 0.9582 0.7780
Pm: 0.3716 0.3316 0.3810
Tb: 0.4955 0.3492 0.7224
Dy: 0.2500 0.1184 0.8816
Pm: 0.8716 0.3810 0.3316
Tb: 0.2729 0.9411 0.5376
Pm: 0.6284 0.6684 0.6190
Dy: 0.7500 0.8816 0.1184
Tb: 0.3173 0.7780 0.9582
Tb: 0.1827 0.0418 0.2220
Tb: 0.7729 0.5376 0.9411
Tb: 0.0045 0.2776 0.6508
Tb: 0.7271 0.0589 0.4624
Tb: 0.6827 0.2220 0.0418
Tb: 0.5045 0.6508 0.2776
Tb: 0.9955 0.7224 0.3492
Tb: 0.2271 0.4624 0.0589
Pm: 0.1284 0.6190 0.6684



First-principles (PBE-GGA) data for a relaxed structure of ThMgHg4, as listed in Alexandria via LeMat-Bulk.

Values from the calculation:
- Mass density: 10.4 g/cm3
- DFT total energy: -1.673 eV per atom
- Energy relative to the elements: 0.030 eV per atom
- Excess energy over the best structure of this formula in the dataset: 0.1995 eV/atom

Cell: 4.5403 4.5403 8.2392 Å, 90.00 90.00 90.00°
Atoms (fractional coordinates):
Hg: 0.5000 0.0000 0.2757
Hg: 0.0000 0.5000 0.2757
Hg: 0.0000 0.5000 0.7243
Hg: 0.5000 0.0000 0.7243
Th: 0.0000 0.0000 0.0000
Mg: 0.5000 0.5000 0.5000